# 1
Computed, not measured: an optimized crystal structure of LiSc2Al5Tc2 at the PBE level of DFT.

```
LiSc2Al5Tc2
1.0
-0.210 -2.734 -2.163
8.719 2.550 -4.070
4.766 -5.646 6.671
Li Sc Al Tc
2 4 10 4
direct
0.000 0.000 0.000
0.000 0.500 0.500
0.000 0.687 0.187
0.000 0.313 0.813
0.000 0.187 0.313
0.000 0.813 0.687
0.500 0.199 0.051
0.500 0.801 0.949
0.500 0.051 0.801
0.500 0.699 0.449
0.500 0.949 0.199
0.500 0.301 0.551
0.500 0.551 0.699
0.500 0.449 0.301
0.500 0.500 0.000
0.500 0.000 0.500
0.000 0.127 0.627
0.000 0.873 0.373
0.000 0.627 0.873
0.000 0.373 0.127
```

Calculated values
DOS(E_F) in states/eV/atom: 0.608
SG: P4/mbm (127)
Calculated volume in Å³ per cell: 346.1
Energy of formation in eV per atom: -0.262
E in eV per atom: -5.66

---

# 2
Computed, not measured: an optimized crystal structure of Sm3Er6Cd at the PBE level of DFT.

```
Sm3Er6Cd
1.0
8.618 0.125 0.127
-0.062 8.618 0.127
-0.062 -0.064 8.619
Sm Er Cd
6 12 2
direct
0.270 0.885 0.739
0.885 0.739 0.270
0.261 0.730 0.115
0.739 0.270 0.885
0.115 0.261 0.730
0.730 0.115 0.261
0.152 0.038 0.377
0.962 0.623 0.848
0.507 0.833 0.392
0.623 0.848 0.962
0.392 0.507 0.833
0.167 0.608 0.493
0.833 0.392 0.507
0.608 0.493 0.167
0.377 0.152 0.038
0.493 0.167 0.608
0.038 0.377 0.152
0.848 0.962 0.623
0.000 0.000 0.000
0.500 0.500 0.500
```

Calculated values
DOS(E_F) in states/eV/atom: 1.769
SG: R-3 (148)
Calculated volume in Å³ per cell: 640.4
Energy of formation in eV per atom: 0.134
E in eV per atom: -4.11

---

# 3
Computed, not measured: an optimized crystal structure of KTa2Se at the PBE level of DFT.

```
KTa2Se
1.0
3.118 0.000 0.000
0.000 3.118 0.000
0.000 0.000 9.557
K Se Ta
1 1 2
direct
0.500 0.500 0.250
0.500 0.500 0.750
0.000 0.000 0.915
0.000 0.000 0.585
```

Calculated values
DOS(E_F) in states/eV/atom: 0.808
Energy relative to the elements, uncorrected in eV per atom: 0.661
SG: P4/mmm (123)
Calculated volume in Å³ per cell: 92.9
E in eV per atom: -6.41

---

# 4
Computed, not measured: an optimized crystal structure of Cd2Ni5N at the PBE level of DFT.

```
Cd2Ni5N
1.0
4.032 0.000 0.000
0.000 5.146 0.000
0.000 0.000 5.146
Cd Ni N
2 5 1
direct
0.500 0.500 0.000
0.500 0.000 0.500
0.000 0.743 0.743
0.000 0.257 0.743
0.000 0.743 0.257
0.500 0.000 0.000
0.000 0.257 0.257
0.000 0.000 0.000
```

Calculated values
DOS(E_F) in states/eV/atom: 0.645
Energy relative to the elements, uncorrected in eV per atom: 0.123
SG: P4/mmm (123)
Calculated volume in Å³ per cell: 106.8
E in eV per atom: -4.76

---

# 5
Computed, not measured: an optimized crystal structure of Mg2ScCu at the PBE level of DFT.

```
Mg2ScCu
1.0
-5.115 -1.173 -0.067
2.480 -0.046 5.324
-0.916 2.597 1.136
Cu Mg Sc
1 2 1
direct
0.500 0.500 0.000
0.000 0.000 0.000
0.500 0.000 0.500
0.000 0.500 0.500
```

Calculated values
DOS(E_F) in states/eV/atom: 0.791
SG: C2/m (12)
Calculated volume in Å³ per cell: 79.6
Energy of formation in eV per atom: 0.080
E in eV per atom: -3.32

---

# 6
Computed, not measured: an optimized crystal structure of BaLa3C at the PBE level of DFT.

```
BaLa3C
1.0
5.449 0.000 0.000
0.000 5.449 0.000
0.000 0.000 5.449
C Ba La
1 1 3
direct
0.000 0.000 0.000
0.500 0.500 0.500
0.000 0.500 0.000
0.000 0.000 0.500
0.500 0.000 0.000
```

Calculated values
DOS(E_F) in states/eV/atom: 1.545
Offset from the most stable computed form in kcal/mol of atoms: 0.000
SG: Pm-3m (221)
Calculated volume in Å³ per cell: 161.8
Energy of formation in eV per atom: 0.163
E in eV per atom: -5.02

---

# 7
Computed, not measured: an optimized crystal structure of Zr2BeAlC at the PBE level of DFT.

```
Zr2BeAlC
1.0
4.671 0.000 0.000
0.000 4.671 0.000
0.000 0.000 3.522
Be C Al Zr
1 1 1 2
direct
0.000 0.000 0.500
0.000 0.000 0.000
0.500 0.500 0.500
0.000 0.500 0.000
0.500 0.000 0.000
```

Calculated values
DOS(E_F) in states/eV/atom: 0.857
SG: P4/mmm (123)
Calculated volume in Å³ per cell: 76.8
Energy of formation in eV per atom: -0.323
E in eV per atom: -7.08

---

# 8
Computed, not measured: an optimized crystal structure of RbTbCuS2 at the PBE level of DFT.

```
RbTbCuS2
1.0
4.666 0.000 0.000
0.000 7.695 0.500
0.000 -1.867 7.689
Rb Tb Cu S
2 2 2 4
direct
0.171 0.500 0.750
0.829 0.500 0.250
0.493 0.000 0.250
0.507 0.000 0.750
0.000 0.000 0.000
0.000 0.000 0.500
0.682 0.780 0.965
0.682 0.220 0.535
0.318 0.780 0.465
0.318 0.220 0.035
```

Calculated values
DOS(E_F) in states/eV/atom: 0.581
Energy relative to the elements, uncorrected in eV per atom: -1.097
SG: P2/c (13)
Calculated volume in Å³ per cell: 280.4
E in eV per atom: -4.69

---

Q: E of number 3 (KTa2Se)?
A: -6.41 eV per atom